Density functional theory data (PBE-GGA) for crystalline Li2AlCl at its relaxed geometry.

Its excess energy over the best structure of this formula in the dataset is 0.735 eV per atom. The value obtained for the formation energy (no corrections) is -8 meV/atom. The calculation puts the total energy at -37.79 eV/cell.

It has space group F-43m (No. 216), with a = 7.1560 Å, b = 7.1560 Å, c = 7.1560 Å, α = 90.00°, β = 90.00° and γ = 90.00°. The inequivalent atoms are Li at (0.0000, 0.0000, 0.0000), Li at (0.2500, 0.2500, 0.2500), Al at (0.0000, 0.0000, 0.5000) and Cl at (0.2500, 0.2500, 0.7500).


Density functional theory data (PBE-GGA) for crystalline LiAlCl2 at its relaxed geometry.

Its excess energy over the best structure of this formula in the dataset is 0.138 eV per atom. The value obtained for the formation energy (no corrections) is -931 meV/atom. The calculation puts the total energy at -13.07 eV/cell.

It has space group P2/m (No. 10), with a = 4.0504 Å, b = 4.0746 Å, c = 5.7560 Å, α = 90.00°, β = 90.07° and γ = 90.00°. The inequivalent atoms are Li at (0.0000, 0.0000, 0.0000), Al at (0.5000, 0.5000, 0.5000), Cl at (0.0000, 0.0000, 0.5000) and Cl at (0.5000, 0.5000, 0.0000).


Density functional theory data (PBE-GGA) for crystalline LiAlCl2 at its relaxed geometry.

Its excess energy over the best structure of this formula in the dataset is 0.649 eV per atom. The value obtained for the formation energy (no corrections) is -420 meV/atom. The calculation puts the total energy at -44.12 eV/cell.

It has space group F-43m (No. 216), with a = 7.1315 Å, b = 7.1315 Å, c = 7.1315 Å, α = 90.00°, β = 90.00° and γ = 90.00°. The inequivalent atoms are Li at (0.0000, 0.0000, 0.0000), Al at (0.2500, 0.2500, 0.2500), Cl at (0.0000, 0.0000, 0.5000) and Cl at (0.2500, 0.2500, 0.7500).


Density functional theory data (PBE-GGA) for crystalline Li2AlCl at its relaxed geometry.

Its excess energy over the best structure of this formula in the dataset is 0.272 eV per atom. The value obtained for the formation energy (no corrections) is -471 meV/atom. The calculation puts the total energy at -33.90 eV/cell.

It has space group R3m (No. 160, hexagonal axes), with a = 3.3741 Å, b = 3.3741 Å, c = 25.4649 Å, α = 90.00°, β = 90.00° and γ = 120.00°. The inequivalent atoms are Li at (0.0000, 0.0000, 0.0000), Li at (0.0000, 0.0000, 0.2236), Al at (0.0000, 0.0000, 0.7419) and Cl at (0.0000, 0.0000, 0.5111).


Density functional theory data (PBE-GGA) for crystalline LiAlCl2 at its relaxed geometry.

Its excess energy over the best structure of this formula in the dataset is 0.081 eV per atom. The value obtained for the formation energy (no corrections) is -988 meV/atom. The calculation puts the total energy at -53.21 eV/cell.

It has space group I-42d (No. 122), with a = 6.8998 Å, b = 6.8998 Å, c = 8.4723 Å, α = 90.00°, β = 90.00° and γ = 90.00°. The inequivalent atoms are Li at (0.0000, 0.0000, 0.0000), Al at (0.0000, 0.0000, 0.5000) and Cl at (0.1871, 0.2500, 0.1250).


Density functional theory data (PBE-GGA) for crystalline LiAlCl2 at its relaxed geometry.

Its excess energy over the best structure of this formula in the dataset is 0.221 eV per atom. The value obtained for the formation energy (no corrections) is -848 meV/atom. The calculation puts the total energy at -25.49 eV/cell.

It has space group I-4m2 (No. 119), with a = 3.8467 Å, b = 3.8467 Å, c = 14.5874 Å, α = 90.00°, β = 90.00° and γ = 90.00°. The inequivalent atoms are Li at (0.0000, 0.0000, 0.0000), Al at (0.0000, 0.5000, 0.7500), Cl at (0.0000, 0.0000, 0.5000) and Cl at (0.0000, 0.5000, 0.2500).